Computed, not measured: a geometry-optimized SrLa2Pt9 structure at the PBE-GGA level of DFT.

CIF file:
```
data_SrLa2Pt9
_chemical_formula_sum 'Sr1 La2 Pt9'
_space_group_name_H-M_alt 'P 1'
_space_group_IT_number 1
_cell_length_a 5.530
_cell_length_b 5.530
_cell_length_c 9.497
_cell_angle_alpha 73.08
_cell_angle_beta 73.08
_cell_angle_gamma 60.00
loop_
_space_group_symop_operation_xyz
'x,y,z'
loop_
_atom_site_label
_atom_site_type_symbol
_atom_site_fract_x
_atom_site_fract_y
_atom_site_fract_z
Sr1 Sr 0.000 0.000 0.000
La1 La 0.861 0.861 0.416
La2 La 0.139 0.139 0.584
Pt1 Pt 0.668 0.668 0.996
Pt2 Pt 0.332 0.332 0.004
Pt3 Pt 0.500 0.500 0.500
Pt4 Pt 0.414 0.414 0.252
Pt5 Pt 0.919 0.414 0.252
Pt6 Pt 0.414 0.919 0.252
Pt7 Pt 0.586 0.586 0.748
Pt8 Pt 0.586 0.081 0.748
Pt9 Pt 0.081 0.586 0.748
```

Values from the calculation:
Its space-group type is R-3m, No. 166. For the formation energy, the calculation gives -84 kJ/mol of atoms. The value obtained for the volume is 237 Å³ per cell.

Computed, not measured: a geometry-optimized LaRuSN2 structure at the PBE-GGA level of DFT.

CIF file:
```
data_LaRuSN2
_chemical_formula_sum 'La1 Ru1 S1 N2'
_space_group_name_H-M_alt 'P 1'
_space_group_IT_number 1
_cell_length_a 3.977
_cell_length_b 3.977
_cell_length_c 4.829
_cell_angle_alpha 90.00
_cell_angle_beta 90.00
_cell_angle_gamma 90.00
loop_
_space_group_symop_operation_xyz
'x,y,z'
loop_
_atom_site_label
_atom_site_type_symbol
_atom_site_fract_x
_atom_site_fract_y
_atom_site_fract_z
Ru1 Ru 0.000 0.000 0.000
S1 S 0.000 0.000 0.500
N1 N 0.000 0.500 0.000
N2 N 0.500 0.000 0.000
La1 La 0.500 0.500 0.500
```

Values from the calculation:
Its space-group type is P4/mmm, No. 123. The formation energy (no corrections) comes out at -341 meV/atom. The value obtained for the volume is 76 Å³ per cell.

Computed, not measured: a geometry-optimized Nd8Sm2Ho structure at the PBE-GGA level of DFT.

CIF file:
```
data_Nd8Sm2Ho
_chemical_formula_sum 'Nd8 Sm2 Ho1'
_space_group_name_H-M_alt 'P 1'
_space_group_IT_number 1
_cell_length_a 6.796
_cell_length_b 10.375
_cell_length_c 10.375
_cell_angle_alpha 38.63
_cell_angle_beta 59.81
_cell_angle_gamma 59.81
loop_
_space_group_symop_operation_xyz
'x,y,z'
loop_
_atom_site_label
_atom_site_type_symbol
_atom_site_fract_x
_atom_site_fract_y
_atom_site_fract_z
Nd1 Nd 0.231 0.349 0.824
Nd2 Nd 0.769 0.176 0.651
Nd3 Nd 0.171 0.756 0.756
Nd4 Nd 0.829 0.244 0.244
Nd5 Nd 0.231 0.824 0.349
Nd6 Nd 0.769 0.651 0.176
Nd7 Nd 0.730 0.592 0.592
Nd8 Nd 0.270 0.408 0.408
Sm1 Sm 0.585 0.804 0.804
Sm2 Sm 0.415 0.196 0.196
Ho1 Ho 0.000 0.000 0.000
```

Values from the calculation:
Its space-group type is C2/m, No. 12. For the formation energy, the calculation gives 15 kJ/mol of atoms. The value obtained for the volume is 386 Å³ per cell.